DFT (GGA+U) results for an optimized crystal structure of K3MnPd2F9.

a b c (Å): 6.0652 6.0652 7.4291
angles (deg): 90.00 90.00 120.00
Site moments in Bohr magnetons follow the coordinates.
Positions (direct):
1 K 0.3333 0.6667 0.6675  0.00
2 K 0.0000 0.0000 0.0000  0.00
3 K 0.6667 0.3333 0.3325  0.00
4 Mn 0.0000 0.0000 0.5000  4.55
5 Pd 0.3333 0.6667 0.1669  -0.05
6 Pd 0.6667 0.3333 0.8331  -0.05
7 F 0.8386 0.1614 0.6621  0.00
8 F 0.8386 0.6772 0.6621  0.00
9 F 0.3228 0.1614 0.6621  0.00
10 F 0.6772 0.8386 0.3379  0.00
11 F 0.1614 0.3228 0.3379  0.00
12 F 0.1614 0.8386 0.3379  0.00
13 F 0.5000 0.0000 0.0000  0.01
14 F 0.0000 0.5000 0.0000  0.01
15 F 0.5000 0.5000 0.0000  0.01

Summary:
M_tot (μB/f.u.): 4.6
Raw total energy (eV/cell): -70.2
Calculated volume (Å³ per atom): 15.8
Space-group type: P-3m1